## Rb4Pr3AlS8 (PBE)

Data for a relaxed Rb4Pr3AlS8 crystal.

POSCAR file:
```
Rb4Pr3AlS8
1.0
-5.356 2.205 -5.892
-0.141 -8.536 -3.067
-1.896 1.176 7.957
S Rb Pr Al
8 4 3 1
direct
0.214 0.687 0.428 S
0.787 0.313 0.026 S
0.786 0.313 0.572 S
0.213 0.687 0.974 S
0.266 0.298 0.532 S
0.760 0.687 0.974 S
0.734 0.702 0.468 S
0.240 0.313 0.026 S
0.000 0.000 0.500 Rb
0.000 0.000 0.000 Rb
0.500 0.000 0.000 Rb
0.500 0.000 0.500 Rb
0.500 0.500 0.500 Pr
0.000 0.500 0.500 Pr
0.500 0.500 0.000 Pr
0.000 0.500 0.000 Al
```

Calculated values
Its space-group type is R-3m, No. 166. The formation energy (no corrections) is -1566 meV/atom. As for the total energy: -0.368 Ry per atom.


## NaSr2In2Pd5 (PBE)

Data for a relaxed NaSr2In2Pd5 crystal.

POSCAR file:
```
NaSr2In2Pd5
1.0
3.794 0.000 0.000
0.000 10.864 0.000
0.000 0.000 10.864
Pd In Sr Na
10 4 4 2
direct
0.500 0.795 0.938 Pd
0.500 0.938 0.205 Pd
0.500 0.705 0.438 Pd
0.500 0.205 0.062 Pd
0.500 0.562 0.705 Pd
0.500 0.438 0.295 Pd
0.500 0.500 0.000 Pd
0.500 0.295 0.562 Pd
0.500 0.062 0.795 Pd
0.500 0.000 0.500 Pd
0.000 0.125 0.625 In
0.000 0.375 0.125 In
0.000 0.625 0.875 In
0.000 0.875 0.375 In
0.000 0.326 0.826 Sr
0.000 0.174 0.326 Sr
0.000 0.826 0.674 Sr
0.000 0.674 0.174 Sr
0.000 0.000 0.000 Na
0.000 0.500 0.500 Na
```

Calculated values
The value obtained for the calculated formation energy is -0.392 eV per atom. Its space-group type is P4/mbm, No. 127. As for the total energy: -0.294 Ry per atom.


## CsCa2Os (PBE)

Data for a relaxed CsCa2Os crystal.

POSCAR file:
```
CsCa2Os
1.0
8.357 0.000 0.000
0.000 8.357 0.000
4.179 4.179 5.917
Os Cs Ca
2 2 4
direct
0.750 0.250 0.500 Os
0.000 0.000 0.000 Os
0.250 0.750 0.500 Cs
0.500 0.500 0.000 Cs
0.875 0.124 0.750 Ca
0.375 0.126 0.750 Ca
0.874 0.125 0.250 Ca
0.876 0.625 0.250 Ca
```

Calculated values
The value obtained for the calculated formation energy is 0.850 eV per atom. Its space-group type is I-42d, No. 122. Its offset from the most stable computed form is 0 meV/atom. As for the total energy: -0.233 Ry per atom.


## CrSbSe2 (PBE)

Data for a relaxed CrSbSe2 crystal.

POSCAR file:
```
CrSbSe2
1.0
4.912 -0.080 0.131
-1.616 4.639 0.034
1.616 2.155 4.108
Se Sb Cr
2 1 1
direct
0.000 0.000 0.000 Se
0.000 0.500 0.500 Se
0.500 0.000 0.500 Sb
0.500 0.500 0.000 Cr
```

Calculated values
Its space-group type is I4/mmm, No. 139. The formation energy (no corrections) is 33 meV/atom. Its offset from the most stable computed form is 349 meV/atom. As for the total energy: -0.378 Ry per atom.